Computed, not measured: a geometry-optimized K2MnBr structure at the PBE level of DFT.

Results
Space-group type   No. 225
ΔE_f (raw)   0.00 eV per atom
Density of states at the Fermi level   7.96 states/eV/f.u.
Total DFT energy (no corrections)   -3.2550 eV per atom
Energy above the lowest structure with this stoichiometry   0.197 eV per atom

a = 6.0112 Å, b = 6.0112 Å, c = 6.0112 Å
α = 60.00°, β = 60.00°, γ = 60.00°
Fractional positions:
K (0.2500, 0.2500, 0.2500)
K (0.7500, 0.7500, 0.7500)
Mn (0.0000, 0.0000, 0.0000)
Br (0.5000, 0.5000, 0.5000)



Computed, not measured: a geometry-optimized KMn5Br12 structure at the PBE level of DFT.

Results
Space-group type   No. 12
ΔE_f (raw)   -0.85 eV per atom
Density of states at the Fermi level   10.28 states/eV/f.u.
Total DFT energy (no corrections)   -4.5691 eV per atom

a = 6.8768 Å, b = 6.8768 Å, c = 14.0178 Å
α = 90.32°, β = 90.32°, γ = 120.08°
Fractional positions:
K (0.0000, 0.0000, 0.0000)
Mn (0.1665, 0.8335, 0.5000)
Mn (0.3334, 0.6666, 0.0000)
Mn (0.5000, 0.5000, 0.5000)
Mn (0.6666, 0.3334, 0.0000)
Mn (0.8335, 0.1665, 0.5000)
Br (0.0027, 0.4039, 0.1129)
Br (0.1629, 0.1629, 0.3946)
Br (0.1679, 0.5019, 0.6048)
Br (0.3992, 0.3992, 0.8869)
Br (0.4039, 0.0027, 0.1129)
Br (0.4981, 0.8321, 0.3952)
Br (0.5019, 0.1679, 0.6048)
Br (0.5961, 0.9973, 0.8871)
Br (0.6008, 0.6008, 0.1131)
Br (0.8321, 0.4981, 0.3952)
Br (0.8371, 0.8371, 0.6054)
Br (0.9973, 0.5961, 0.8871)



Computed, not measured: a geometry-optimized KMnBr structure at the PBE level of DFT.

Results
Space-group type   No. 216
ΔE_f (raw)   0.24 eV per atom
Density of states at the Fermi level   3.08 states/eV/f.u.
Total DFT energy (no corrections)   -3.7368 eV per atom
Energy above the lowest structure with this stoichiometry   0.269 eV per atom

a = 5.6704 Å, b = 5.6704 Å, c = 5.6704 Å
α = 60.00°, β = 60.00°, γ = 60.00°
Fractional positions:
K (0.0000, 0.0000, 0.0000)
Mn (0.7500, 0.7500, 0.7500)
Br (0.2500, 0.2500, 0.2500)



Computed values of M_tot (unit: μB per formula unit) for the preceding records, in sequence: 4.4, 4.1, 5.0.